The following is a DFT calculation (PBE-GGA) of Zr6Pt3N after structural relaxation.

Cell: 5.880 7.291 9.069 Å, 90.00 85.42 90.00°
Fractional positions:
Pt: 0.090 0.603 0.225
Zr: 0.671 0.147 0.951
Zr: 0.634 0.222 0.567
N: 0.000 0.000 0.000
Zr: 0.160 0.051 0.765
Zr: 0.829 0.647 0.549
Pt: 0.910 0.397 0.775
Zr: 0.366 0.778 0.433
Zr: 0.329 0.853 0.049
Pt: 0.410 0.103 0.275
N: 0.500 0.500 0.500
Zr: 0.660 0.449 0.265
Zr: 0.866 0.722 0.933
Zr: 0.840 0.949 0.235
Zr: 0.134 0.278 0.067
Pt: 0.590 0.897 0.725
Pt: 0.500 0.500 0.000
Pt: 0.000 0.000 0.500
Zr: 0.340 0.551 0.735
Zr: 0.171 0.353 0.451

* energy relative to the elements, uncorrected: -20.88 kcal/mol of atoms
* mass density: 9.83 g/cm3
* Fermi-level density of states: 14.432 states/eV/cell